--- a ---
Density functional theory data (PBEsol) for CaYAg2 after structural relaxation.

abc: 5.0750 5.0750 5.0750
angles: 60.00 60.00 60.00
Element x y z (fractional)
Ca  0.0000  0.0000  0.0000
Y  0.5000  0.5000  0.5000
Ag  0.2500  0.2500  0.2500
Ag  0.7500  0.7500  0.7500

Computed properties:
DOS(E_F) in states/eV/cell: 2.9


--- b ---
Density functional theory data (PBEsol) for CaYAg2 after structural relaxation.

abc: 3.5825 3.5825 7.3248
angles: 90.00 90.00 90.00
Element x y z (fractional)
Ca  0.0000  0.0000  0.0000
Y  0.0000  0.0000  0.5000
Ag  0.5000  0.5000  0.2697
Ag  0.5000  0.5000  0.7303

Computed properties:
DOS(E_F) in states/eV/cell: 2.9


Which structure is the least stable? The one labeled a.


--- a ---
Density functional theory data (PBEsol) for CdAg5 after structural relaxation.

abc: 4.6875 7.4975 7.4975
angles: 22.77 90.00 90.00
Element x y z (fractional)
Cd  0.0000  0.0000  0.0000
Ag  0.0000  0.3319  0.3319
Ag  0.0000  0.6681  0.6681
Ag  0.5000  0.1179  0.1179
Ag  0.5000  0.4489  0.4489
Ag  0.5000  0.7832  0.7832

Computed properties:
DOS(E_F) in states/eV/cell: 1.6


--- b ---
Density functional theory data (PBEsol) for CdAg5 after structural relaxation.

abc: 6.5042 6.5042 4.0192
angles: 90.00 90.00 143.22
Element x y z (fractional)
Cd  0.0000  0.0000  0.0000
Ag  0.1684  0.8316  0.5000
Ag  0.3321  0.6679  0.0000
Ag  0.5000  0.5000  0.5000
Ag  0.6679  0.3321  0.0000
Ag  0.8316  0.1684  0.5000

Computed properties:
DOS(E_F) in states/eV/cell: 1.6


--- c ---
Density functional theory data (PBEsol) for CdAg5 after structural relaxation.

abc: 2.8969 2.8969 12.1613
angles: 90.00 90.00 90.00
Element x y z (fractional)
Cd  0.0000  0.0000  0.0000
Ag  0.0000  0.0000  0.3367
Ag  0.0000  0.0000  0.6633
Ag  0.5000  0.5000  0.1725
Ag  0.5000  0.5000  0.5000
Ag  0.5000  0.5000  0.8275

Computed properties:
DOS(E_F) in states/eV/cell: 1.6


Which structure is the least stable? The one labeled c.


--- a ---
Density functional theory data (PBEsol) for CdAg5 after structural relaxation.

abc: 5.5298 5.5298 6.7983
angles: 105.41 105.41 30.66
Element x y z (fractional)
Cd  0.0000  0.0000  0.0000
Ag  0.2801  0.2801  0.0633
Ag  0.3328  0.3328  0.6648
Ag  0.6154  0.6154  0.7262
Ag  0.6681  0.6681  0.3368
Ag  0.9479  0.9479  0.3970

Computed properties:
DOS(E_F) in states/eV/cell: 1.7


--- b ---
Density functional theory data (PBEsol) for CdAg5 after structural relaxation.

abc: 4.9869 4.9869 4.7172
angles: 90.00 90.00 120.00
Element x y z (fractional)
Cd  0.0000  0.0000  0.0000
Ag  0.0000  0.3364  0.5000
Ag  0.3333  0.6667  0.0000
Ag  0.3364  0.0000  0.5000
Ag  0.6636  0.6636  0.5000
Ag  0.6667  0.3333  0.0000

Computed properties:
DOS(E_F) in states/eV/cell: 1.8


Which structure is the least stable? The one labeled a.


--- a ---
Density functional theory data (PBEsol) for Cd2Ag after structural relaxation.

abc: 4.5447 4.5447 4.5447
angles: 60.00 60.00 60.00
Element x y z (fractional)
Cd  0.2500  0.2500  0.2500
Cd  0.7500  0.7500  0.7500
Ag  0.0000  0.0000  0.0000

Computed properties:
DOS(E_F) in states/eV/cell: 1.1


--- b ---
Density functional theory data (PBEsol) for Cd2Ag after structural relaxation.

abc: 6.9092 6.9092 4.4738
angles: 90.00 90.00 148.28
Element x y z (fractional)
Cd  0.0780  0.9220  0.7500
Cd  0.2495  0.7505  0.2500
Cd  0.7505  0.2495  0.7500
Cd  0.9220  0.0780  0.2500
Ag  0.4146  0.5854  0.7500
Ag  0.5854  0.4146  0.2500

Computed properties:
DOS(E_F) in states/eV/cell: 1.3


Which structure is the least stable? The one labeled a.


--- a ---
Density functional theory data (PBEsol) for Cd2Ag after structural relaxation.

abc: 13.5633 13.5633 13.5633
angles: 167.49 167.49 17.73
Element x y z (fractional)
Cd  0.2980  0.5480  0.7500
Cd  0.4520  0.7020  0.7500
Cd  0.5480  0.2980  0.2500
Cd  0.7020  0.4520  0.2500
Ag  0.1250  0.8750  0.2500
Ag  0.8750  0.1250  0.7500

Computed properties:
DOS(E_F) in states/eV/cell: 1.9


--- b ---
Density functional theory data (PBEsol) for Cd2Ag after structural relaxation.

abc: 5.1815 5.1815 5.1815
angles: 145.50 134.17 58.60
Element x y z (fractional)
Cd  0.1634  0.1634  0.0000
Cd  0.8366  0.8366  0.0000
Ag  0.5000  0.5000  0.0000

Computed properties:
DOS(E_F) in states/eV/cell: 0.8


--- c ---
Density functional theory data (PBEsol) for Cd2Ag after structural relaxation.

abc: 4.7882 4.7882 2.8645
angles: 90.00 90.00 120.00
Element x y z (fractional)
Cd  0.3333  0.6667  0.0000
Cd  0.6667  0.3333  0.0000
Ag  0.0000  0.0000  0.5000

Computed properties:
DOS(E_F) in states/eV/cell: 0.8


Which structure is the least stable? The one labeled c.


--- a ---
Density functional theory data (PBEsol) for Cd2Ag after structural relaxation.

abc: 5.2470 4.7360 9.0365
angles: 90.00 90.00 90.00
Element x y z (fractional)
Cd  0.1501  0.2500  0.1696
Cd  0.1695  0.2500  0.5080
Cd  0.3305  0.7500  0.0080
Cd  0.3499  0.7500  0.6696
Cd  0.6501  0.2500  0.3304
Cd  0.6695  0.2500  0.9920
Cd  0.8305  0.7500  0.4920
Cd  0.8499  0.7500  0.8304
Ag  0.1779  0.2500  0.8335
Ag  0.3221  0.7500  0.3335
Ag  0.6779  0.2500  0.6665
Ag  0.8221  0.7500  0.1665

Computed properties:
DOS(E_F) in states/eV/cell: 3.9


--- b ---
Density functional theory data (PBEsol) for Cd2Ag after structural relaxation.

abc: 12.6971 12.6971 2.9339
angles: 90.12 90.12 14.19
Element x y z (fractional)
Cd  0.0502  0.0502  0.2495
Cd  0.2065  0.2065  0.2496
Cd  0.7935  0.7935  0.7504
Cd  0.9498  0.9498  0.7505
Ag  0.3717  0.3717  0.2506
Ag  0.6283  0.6283  0.7494

Computed properties:
DOS(E_F) in states/eV/cell: 1.6


Which structure is the least stable? The one labeled b.


--- a ---
Density functional theory data (PBEsol) for Cd2Ag after structural relaxation.

abc: 4.7529 4.7529 2.9571
angles: 90.00 90.00 90.00
Element x y z (fractional)
Cd  0.0000  0.5000  0.0000
Cd  0.5000  0.0000  0.0000
Ag  0.0000  0.0000  0.5000

Computed properties:
DOS(E_F) in states/eV/cell: 0.9


--- b ---
Density functional theory data (PBEsol) for Cd2Ag after structural relaxation.

abc: 4.7705 4.7705 5.7457
angles: 90.00 90.00 120.00
Element x y z (fractional)
Cd  0.0000  0.0000  0.0000
Cd  0.0000  0.0000  0.5000
Cd  0.3333  0.6667  0.2500
Cd  0.6667  0.3333  0.7500
Ag  0.3333  0.6667  0.7500
Ag  0.6667  0.3333  0.2500

Computed properties:
DOS(E_F) in states/eV/cell: 1.3


Which structure is the least stable? The one labeled a.


--- a ---
Density functional theory data (PBEsol) for Cd2Ag after structural relaxation.

abc: 5.6557 5.6557 6.9559
angles: 103.36 103.36 31.41
Element x y z (fractional)
Cd  0.0000  0.0000  0.0000
Cd  0.0531  0.0531  0.5997
Cd  0.3801  0.3801  0.2783
Cd  0.7217  0.7217  0.9339
Ag  0.3313  0.3313  0.6622
Ag  0.6635  0.6635  0.3298

Computed properties:
DOS(E_F) in states/eV/cell: 1.7


--- b ---
Density functional theory data (PBEsol) for Cd2Ag after structural relaxation.

abc: 8.0433 8.0433 3.0342
angles: 90.00 90.00 120.00
Element x y z (fractional)
Cd  0.0000  0.3680  0.0000
Cd  0.0000  0.7011  0.5000
Cd  0.2989  0.2989  0.5000
Cd  0.3680  0.0000  0.0000
Cd  0.6320  0.6320  0.0000
Cd  0.7011  0.0000  0.5000
Ag  0.0000  0.0000  0.0000
Ag  0.3333  0.6667  0.5000
Ag  0.6667  0.3333  0.5000

Computed properties:
DOS(E_F) in states/eV/cell: 3.3


Which structure is the least stable? The one labeled b.